*1*
20
Lattice="-6.0666 -1.9771 -6.0897 -5.7775 -1.9703 6.3952 0.1449 8.3642 -2.8599" Properties=species:S:1:pos:R:3 comment="Dy6Tm3Mg | Alexandria via LeMat-Bulk | PBE | optimized geometry" dos_ef_per_ev_cell=26.3 volume_a3_per_cell=613.70 spacegroup="No. 36" pbc="T T T"
Dy -5.2532 4.0158 2.6721
Dy -7.5399 4.3300 -1.5394
Dy -4.5217 5.3269 -0.6607
Dy -9.3450 1.2148 -0.9082
Dy -7.1481 -1.9390 4.1550
Dy -5.5976 4.1139 -4.3219
Dy -5.1341 0.6183 2.7387
Dy -4.9326 6.2316 -7.0923
Dy -2.5840 3.1273 -1.8769
Dy -7.4073 -0.9848 -2.1244
Dy -2.3201 0.6863 0.8311
Dy -4.6069 1.0004 -3.3803
Tm -8.1070 2.9028 1.6387
Tm -9.4130 4.9283 -4.1054
Tm -5.5685 1.9229 -0.3129
Tm -8.0702 1.8619 -4.1884
Tm -5.7779 0.8018 -6.3871
Tm -4.4719 -1.2237 -0.6430
Mg -1.3478 6.0073 -0.9754
Mg -7.6674 -0.7157 1.1152



*2*
20
Lattice="-4.7696 0.4723 -1.2912 2.5729 -2.5093 -10.4218 -1.6694 -10.7277 2.2426" Properties=species:S:1:pos:R:3 comment="Dy6Tm3Mg | Alexandria via LeMat-Bulk | PBE | optimized geometry" dos_ef_per_ev_cell=27.7 volume_a3_per_cell=606.63 spacegroup="No. 11" pbc="T T T"
Dy -0.2073 -2.1038 -4.7744
Dy -3.6588 -10.6609 -4.6960
Dy -1.1357 -2.3836 -1.4474
Dy -2.7304 -10.3811 -8.0231
Dy -0.6854 -9.0292 -5.5416
Dy -3.1807 -3.7355 -3.9288
Dy -1.3866 -5.8587 -1.7917
Dy -2.4795 -6.9060 -7.6788
Dy 0.4879 -5.2772 -8.5031
Dy -4.3540 -7.4875 -0.9674
Dy -2.5686 -9.6569 1.1852
Dy -1.2975 -3.1079 -10.6556
Tm -0.4434 -5.5555 -5.1647
Tm -3.4227 -7.2092 -4.3058
Tm -1.6255 -9.3088 -2.1710
Tm -2.2406 -3.4559 -7.2995
Tm 0.7355 -1.7947 -8.1441
Tm -4.6016 -10.9701 -1.3263
Mg 0.2619 -8.6753 -8.9113
Mg -4.1280 -4.0895 -0.5591



Stability, lowest: *1*



*1*
10
Lattice="-2.8879 -0.6642 2.0046 7.5877 -5.9664 -0.5572 4.7454 5.2345 8.5709" Properties=species:S:1:pos:R:3 comment="Dy3TmMg | Alexandria via LeMat-Bulk | PBE | optimized geometry" dos_ef_per_ev_cell=13.6 volume_a3_per_cell=320.58 spacegroup="No. 11" pbc="T T T"
Dy 7.5035 -1.6039 3.9197
Dy 1.9417 0.2078 6.0986
Dy 5.1987 -4.1463 -0.2431
Dy 4.2465 2.7501 10.2614
Dy 6.9619 0.0558 6.9077
Dy 2.4834 -1.4519 3.1106
Tm 9.5673 -2.1330 6.8019
Tm -0.1220 0.7369 3.2163
Mg 4.4758 1.9332 7.1375
Mg 4.9695 -3.3294 2.8807



*2*
10
Lattice="3.6276 0.0000 0.0000 -1.8138 6.3084 -0.8843 0.0000 1.0704 12.8194" Properties=species:S:1:pos:R:3 comment="Dy3TmMg | Alexandria via LeMat-Bulk | PBE | optimized geometry" dos_ef_per_ev_cell=13.5 volume_a3_per_cell=296.80 spacegroup="No. 12" pbc="T T T"
Dy 0.0000 4.1342 8.9608
Dy 1.8138 3.2445 2.9743
Dy 0.0000 4.4778 0.2010
Dy 1.8138 2.9010 11.7341
Dy 0.0000 2.1901 5.8855
Dy 1.8138 5.1887 6.0496
Tm 1.8138 1.1799 8.7573
Tm 0.0000 6.1989 3.1779
Mg 1.8138 6.4552 10.4460
Mg 0.0000 0.9236 1.4891



Stability, lowest: *1*



*1*
11
Lattice="-1.5896 3.3960 4.1803 0.0927 -7.9457 3.9367 7.5004 3.8139 -2.7998" Properties=species:S:1:pos:R:3 comment="Dy8TmMg2 | Alexandria via LeMat-Bulk | PBE | optimized geometry" dos_ef_per_ev_cell=14.1 volume_a3_per_cell=340.27 spacegroup="No. 12" pbc="T T T"
Dy 3.8003 -1.6267 5.2849
Dy 5.4511 0.9939 3.7836
Dy 4.0436 -1.4483 1.9184
Dy 0.8634 -3.7625 4.6032
Dy 5.1401 3.0267 0.7140
Dy 1.9598 0.7125 3.3988
Dy 0.5523 -1.7297 1.5335
Dy 2.2031 0.8910 0.0323
Tm -0.7948 1.6980 2.0902
Mg 5.2278 0.2062 -0.7332
Mg 2.3652 -4.3381 1.8700



*2*
11
Lattice="5.1121 0.0000 -1.4695 -0.9343 7.6669 -3.2502 -0.2832 -0.3024 8.6414" Properties=species:S:1:pos:R:3 comment="Dy8TmMg2 | Alexandria via LeMat-Bulk | PBE | optimized geometry" dos_ef_per_ev_cell=14.7 volume_a3_per_cell=330.06 spacegroup="No. 12" pbc="T T T"
Dy 2.5700 3.5371 -0.6863
Dy 1.3745 0.1820 4.7815
Dy 0.4759 1.4455 1.6556
Dy -0.4257 5.5970 -1.4810
Dy 3.4187 5.9190 2.2662
Dy 2.5202 7.1825 -0.8597
Dy 1.3246 3.8274 4.6080
Dy 4.3204 1.7675 5.4028
Tm 2.5561 0.0000 -0.7348
Mg 0.4470 4.6724 1.5549
Mg 3.4477 2.6921 2.3669



Stability, lowest: *1*